The following is a PBE-GGA calculation of an optimized crystal structure of Al2FeCoH, from Alexandria via LeMat-Bulk.

Properties
* space-group type: No. 123
* VASP energy: -5.54 eV/atom

Lattice parameters (Å, degrees): 4.0441 4.0441 3.0521 90.00 90.00 90.00
Closest atoms and distances in Å follow each position.
Atoms (fractional coordinates):
Al 0.0000 0.5000 0.0000  2 H 2.02
Al 0.5000 0.0000 0.0000  2 H 2.02
Fe 0.0000 0.0000 0.5000  8 Al 2.53
Co 0.5000 0.5000 0.5000  2 H 1.53
H 0.5000 0.5000 0.0000  2 Co 1.53